YCdO2: relaxed, PBE.

VASP energy in Ry/atom: -0.470
Density of states at the Fermi level in states/eV per cell: 1.1
Uncorrected formation energy in eV/atom: -2.071

Lattice parameters (Å, degrees): 5.3571 5.3571 6.5480 65.85 65.85 90.00
Atoms (fractional coordinates):
Y 0.5000 0.5000 0.0000
Y 0.2500 0.7500 0.5000
O 0.5771 0.1250 0.2500
O 0.1729 0.6250 0.2500
O 0.3750 0.4229 0.7500
O 0.8750 0.8271 0.7500
Cd 0.0000 0.0000 0.0000
Cd 0.7500 0.2500 0.5000

---

Y5Cd2O2: relaxed, PBE.

VASP energy in Ry/atom: -0.463
Density of states at the Fermi level in states/eV per cell: 8.6
Uncorrected formation energy in eV/atom: -1.406

Lattice parameters (Å, degrees): 7.0002 6.8825 10.1501 109.82 110.17 90.00
Atoms (fractional coordinates):
Y 0.7668 0.7764 0.0337
Y 0.2332 0.7427 0.9663
Y 0.7669 0.2764 0.0337
Y 0.2331 0.2427 0.9663
Y 0.7882 0.8734 0.7277
Y 0.2118 0.1457 0.2723
Y 0.4395 0.3734 0.7277
Y 0.5605 0.6457 0.2723
Y 0.0000 0.0096 0.5000
Y 0.0000 0.5096 0.5000
Cd 0.8808 0.3829 0.7465
Cd 0.1192 0.6364 0.2535
Cd 0.3657 0.8829 0.7465
Cd 0.6343 0.1364 0.2535
O 0.0000 0.0095 0.0000
O 0.5000 0.5095 0.0000
O 0.7898 0.7595 0.5000
O 0.2102 0.2595 0.5000

---

Zn6CdO6: relaxed, PBE.

VASP energy in Ry/atom: -0.304
Uncorrected formation energy in eV/atom: -1.186

Lattice parameters (Å, degrees): 5.7376 5.7376 5.7376 90.00 90.00 90.00
Atoms (fractional coordinates):
Zn 0.2493 0.5000 0.0000
Zn 0.7507 0.5000 0.0000
Zn 0.5000 0.0000 0.2493
Zn 0.5000 0.0000 0.7507
Zn 0.0000 0.2493 0.5000
Zn 0.0000 0.7507 0.5000
Cd 0.0000 0.0000 0.0000
O 0.2527 0.0000 0.5000
O 0.7473 0.0000 0.5000
O 0.0000 0.5000 0.2527
O 0.0000 0.5000 0.7473
O 0.5000 0.2527 0.0000
O 0.5000 0.7473 0.0000

---

Zn3CdO: relaxed, PBE.

VASP energy in Ry/atom: -0.150
Density of states at the Fermi level in states/eV per cell: 2.2
Uncorrected formation energy in eV/atom: -0.101
Energy above the lowest structure with this stoichiometry in kJ per mole of atoms: 0.0

Lattice parameters (Å, degrees): 4.3113 4.3113 4.3113 90.00 90.00 90.00
Atoms (fractional coordinates):
Zn 0.0000 0.5000 0.0000
Zn 0.0000 0.0000 0.5000
Zn 0.5000 0.0000 0.0000
O 0.0000 0.0000 0.0000
Cd 0.5000 0.5000 0.5000